Entry 1:
First-principles (PBE-GGA) data for a relaxed structure of Cu7Se2S2, as listed in the Alexandria database.

Output
E_form (uncorrected), eV per atom: -0.070
Total magnetization, Bohr magnetons per cell: 0.00
Total energy, eV/atom: -4.06
Excess energy over the best structure of this formula in the dataset, eV/atom: 0.0042

abc: 6.010 5.705 5.705
angles: 87.02 96.46 96.46
Element x y z (fractional)
Cu 0.310 0.423 0.423
S 0.980 0.257 0.257
Cu 0.298 0.882 0.529
Cu 0.298 0.529 0.882
S 0.020 0.743 0.743
Cu 0.000 0.000 0.000
Cu 0.702 0.118 0.471
Cu 0.690 0.577 0.577
Cu 0.702 0.471 0.118
Se 0.500 0.781 0.219
Se 0.500 0.219 0.781

---

Entry 2:
First-principles (PBE-GGA) data for a relaxed structure of Ac6La2Er, as listed in the Alexandria database.

Output
Energy of formation from the pure elements, meV per atom: 128
Total magnetization, Bohr magnetons per cell: 0.00
Total energy, eV/atom: -4.21

abc: 10.337 6.763 10.809
angles: 91.14 90.00 90.00
Element x y z (fractional)
Ac 0.120 0.851 0.796
Ac 0.346 0.855 0.484
Ac 0.210 0.858 0.150
Ac 0.380 0.351 0.296
Er 0.500 0.500 0.000
Ac 0.710 0.642 0.350
Ac 0.154 0.355 0.984
La 0.931 0.491 0.636
Ac 0.846 0.645 0.016
Ac 0.654 0.145 0.516
La 0.069 0.509 0.364
Ac 0.880 0.149 0.204
La 0.431 0.009 0.864
Ac 0.790 0.142 0.850
Ac 0.290 0.358 0.650
La 0.569 0.991 0.136
Er 0.000 0.000 0.500
Ac 0.620 0.649 0.704

---

Entry 3:
First-principles (PBE-GGA) data for a relaxed structure of TbCdInCu, as listed in the Alexandria database.

Output
Energy of formation from the pure elements, meV per atom: -240
Total magnetization, Bohr magnetons per cell: 0.00
Total energy, eV/atom: -3.34

abc: 4.922 4.922 4.922
angles: 60.00 60.00 60.00
Element x y z (fractional)
Cu 0.250 0.250 0.250
Tb 0.500 0.500 0.500
Cd 0.750 0.750 0.750
In 0.000 0.000 0.000

---

Entry 4:
First-principles (PBE-GGA) data for a relaxed structure of Ac4Si3Pt12Au, as listed in the Alexandria database.

Output
E_form (uncorrected), eV per atom: -0.654
Total magnetization, Bohr magnetons per cell: 0.00
Total energy, eV/atom: -6.08

abc: 8.307 8.307 8.307
angles: 109.47 109.47 109.47
Element x y z (fractional)
Si 0.500 0.500 0.000
Si 0.000 0.500 0.500
Ac 0.000 0.500 0.000
Pt 0.750 0.250 0.500
Pt 0.250 0.750 0.500
Pt 0.750 0.500 0.250
Ac 0.500 0.000 0.000
Pt 0.250 0.500 0.750
Pt 0.000 0.732 0.732
Au 0.000 0.000 0.000
Si 0.500 0.000 0.500
Pt 0.000 0.268 0.268
Pt 0.732 0.000 0.732
Pt 0.268 0.000 0.268
Pt 0.500 0.250 0.750
Pt 0.500 0.750 0.250
Ac 0.000 0.000 0.500
Pt 0.268 0.268 0.000
Ac 0.500 0.500 0.500
Pt 0.732 0.732 0.000

---

Entry 5:
First-principles (PBE-GGA) data for a relaxed structure of ZnNiPt, as listed in the Alexandria database.

Output
Energy of formation from the pure elements, meV per atom: -310
Total magnetization, Bohr magnetons per cell: 0.67
Total energy, eV/atom: -4.68

abc: 4.473 2.788 6.516
angles: 90.00 95.76 90.00
Element x y z (fractional)
Pt 0.866 0.000 0.282
Zn 0.028 0.500 0.618
Ni 0.537 0.000 0.618
Ni 0.720 0.500 0.934
Pt 0.228 0.000 0.943
Zn 0.374 0.500 0.291

---

Entry 6:
First-principles (PBE-GGA) data for a relaxed structure of Li2Ag3Hg4, as listed in the Alexandria database.

Output
Energy of formation from the pure elements, meV per atom: -142
Total magnetization, Bohr magnetons per cell: 0.00
Total energy, eV/atom: -1.65

abc: 4.387 5.053 9.032
angles: 79.70 90.87 63.42
Element x y z (fractional)
Hg 0.013 0.975 0.333
Li 0.328 0.343 0.777
Ag 0.333 0.330 0.447
Li 0.672 0.657 0.223
Hg 0.987 0.025 0.667
Ag 0.667 0.670 0.553
Hg 0.336 0.327 0.113
Hg 0.664 0.673 0.887
Ag 0.000 0.000 0.000

---

Entry 7:
First-principles (PBE-GGA) data for a relaxed structure of PmNd3Er4, as listed in the Alexandria database.

Output
Energy of formation from the pure elements, meV per atom: 21
Total magnetization, Bohr magnetons per cell: 0.00
Total energy, eV/atom: -4.64
Excess energy over the best structure of this formula in the dataset, eV/atom: 0.0000

abc: 7.179 7.179 10.160
angles: 90.00 90.00 90.00
Element x y z (fractional)
Er 0.250 0.561 0.250
Er 0.250 0.561 0.750
Pm 0.500 0.311 0.500
Nd 0.749 0.561 0.250
Er 0.000 0.311 0.500
Nd 0.000 0.811 0.500
Er 0.750 0.061 0.750
Nd 0.749 0.561 0.750
Pm 0.500 0.811 0.000
Nd 0.000 0.311 0.000
Er 0.500 0.311 0.000
Nd 0.251 0.061 0.250
Nd 0.251 0.061 0.750
Er 0.500 0.811 0.500
Er 0.750 0.061 0.250
Er 0.000 0.811 0.000

---

Entry 8:
First-principles (PBE-GGA) data for a relaxed structure of LaTlAgPb, as listed in the Alexandria database.

Output
Energy of formation from the pure elements, meV per atom: -239
Total magnetization, Bohr magnetons per cell: 0.00
Total energy, eV/atom: -3.70

abc: 5.388 5.388 5.388
angles: 60.00 60.00 60.00
Element x y z (fractional)
Tl 0.750 0.750 0.750
Pb 0.000 0.000 0.000
Ag 0.250 0.250 0.250
La 0.500 0.500 0.500

---

Entry 9:
First-principles (PBE-GGA) data for a relaxed structure of TlW2Au, as listed in the Alexandria database.

Output
Energy of formation from the pure elements, meV per atom: 724
Total magnetization, Bohr magnetons per cell: 0.00
Total energy, eV/atom: -7.16
Excess energy over the best structure of this formula in the dataset, eV/atom: 0.2156

abc: 5.507 5.507 5.507
angles: 144.90 128.27 64.06
Element x y z (fractional)
W 0.975 0.975 0.000
Au 0.508 0.508 0.000
Tl 0.246 0.746 0.500
W 0.771 0.271 0.500

---

Entry 10:
First-principles (PBE-GGA) data for a relaxed structure of CeTcRu, as listed in the Alexandria database.

Output
Energy of formation from the pure elements, meV per atom: -226
Total magnetization, Bohr magnetons per cell: 0.00
Total energy, eV/atom: -8.75
Excess energy over the best structure of this formula in the dataset, eV/atom: 0.0000

abc: 4.881 5.502 5.502
angles: 61.02 63.67 63.67
Element x y z (fractional)
Tc 0.500 0.000 0.000
Ru 0.500 0.500 0.000
Tc 0.000 0.000 0.000
Ce 0.874 0.376 0.376
Ce 0.126 0.624 0.624
Ru 0.500 0.000 0.500

---

Entry 11:
First-principles (PBE-GGA) data for a relaxed structure of Rb2Pt2Se, as listed in the Alexandria database.

Output
E_form (uncorrected), eV per atom: -0.179
Total magnetization, Bohr magnetons per cell: 0.00
Total energy, eV/atom: -3.68
Excess energy over the best structure of this formula in the dataset, eV/atom: 0.0000

abc: 6.810 6.810 6.018
angles: 55.54 55.54 90.00
Element x y z (fractional)
Rb 0.250 0.750 0.500
Se 0.000 0.000 0.000
Rb 0.750 0.250 0.500
Pt 0.330 0.330 0.340
Pt 0.670 0.670 0.660

---

Entry 12:
First-principles (PBE-GGA) data for a relaxed structure of Tb6PrHo6, as listed in the Alexandria database.

Output
Energy of formation from the pure elements, meV per atom: 272
Total magnetization, Bohr magnetons per cell: 3.07
Total energy, eV/atom: -4.35

abc: 6.631 6.631 11.438
angles: 90.00 90.00 119.97
Element x y z (fractional)
Tb 0.000 0.000 0.650
Ho 0.000 0.500 0.245
Tb 0.000 0.000 0.350
Ho 0.500 0.500 0.754
Tb 0.667 0.333 0.000
Tb 0.333 0.667 0.500
Ho 0.500 0.000 0.755
Ho 0.000 0.500 0.755
Pr 0.000 0.000 0.000
Tb 0.333 0.667 0.000
Ho 0.500 0.000 0.245
Ho 0.500 0.500 0.246
Tb 0.667 0.333 0.500

---

no.,Fermi-level density of states (states/eV/f.u.)
1,5.03
2,14.30
3,2.00
4,12.32
5,2.77
6,2.43
7,11.86
8,2.94
9,1.99
10,3.73
11,3.25
12,25.89